#i
DFT (PBE) results for a relaxed structure of CuAsBr.

Calculated values
DOS(E_F) in states/eV/atom: 1.132
Space group: F-43m, No. 216

Cell: 4.479 4.479 4.479 Å, 60.00 60.00 60.00°
Positions (direct):
Cu  0.000  0.000  0.000
As  0.250  0.250  0.250
Br  0.750  0.750  0.750

=====

#ii
DFT (PBE) results for a relaxed structure of CuAsBr.

Calculated values
DOS(E_F) in states/eV/atom: 0.294
Space group: Imm2, No. 44

Cell: 6.001 6.001 6.001 Å, 147.39 143.72 49.57°
Positions (direct):
Cu  0.000  0.000  0.000
As  0.470  0.470  0.000
Br  0.245  0.245  0.000

=====

Which one is most stable, and which one is least stable? #ii is the most stable of them, while #i is the least stable.

=====

#i
DFT (PBE) results for a relaxed structure of CuAsBr2.

Calculated values
DOS(E_F) in states/eV/atom: 0.793
Space group: P4/mmm, No. 123

Cell: 3.325 3.325 7.603 Å, 90.00 90.00 90.00°
Positions (direct):
Cu  0.000  0.000  0.000
As  0.000  0.000  0.500
Br  0.500  0.500  0.216
Br  0.500  0.500  0.784

=====

#ii
DFT (PBE) results for a relaxed structure of CuAsBr2.

Calculated values
DOS(E_F) in states/eV/atom: 0.473
Space group: Immm, No. 71

Cell: 5.798 5.798 5.798 Å, 145.34 100.92 89.32°
Positions (direct):
Cu  0.000  0.000  0.000
As  0.500  0.500  0.000
Br  0.214  0.714  0.500
Br  0.786  0.286  0.500

=====

Which one is most stable, and which one is least stable? #ii is the most stable of them, while #i is the least stable.

=====

#i
DFT (PBE) results for a relaxed structure of CuAsBr2.

Calculated values
DOS(E_F) in states/eV/atom: 0.379
Space group: Pm, No. 6

Cell: 4.688 3.647 6.405 Å, 90.00 107.01 90.00°
Positions (direct):
Cu  0.000  0.000  0.000
As  0.648  0.500  0.896
Br  0.123  0.000  0.643
Br  0.391  0.500  0.186

=====

#ii
DFT (PBE) results for a relaxed structure of CuAsBr2.

Calculated values
DOS(E_F) in states/eV/atom: 0.311
Space group: C2/m, No. 12

Cell: 7.664 7.664 4.270 Å, 100.01 100.01 25.73°
Positions (direct):
Cu  0.000  0.000  0.000
As  0.500  0.500  0.500
Br  0.360  0.360  0.793
Br  0.640  0.640  0.207

=====

Which one is most stable, and which one is least stable? #i is the most stable of them, while #ii is the least stable.

=====

#i
DFT (PBE) results for a relaxed structure of CuAsBr2.

Calculated values
DOS(E_F) in states/eV/atom: 0.444
Space group: P4mm, No. 99

Cell: 3.376 3.376 8.246 Å, 90.00 90.00 90.00°
Positions (direct):
Cu  0.000  0.000  0.000
As  0.500  0.500  0.128
Br  0.000  0.000  0.390
Br  0.500  0.500  0.801

=====

#ii
DFT (PBE) results for a relaxed structure of CuAsBr2.

Calculated values
DOS(E_F) in states/eV/atom: 0.346
Space group: Cmmm, No. 65

Cell: 3.661 3.661 8.248 Å, 90.00 90.00 123.05°
Positions (direct):
Cu  0.000  0.000  0.000
As  0.000  0.000  0.500
Br  0.500  0.500  0.212
Br  0.500  0.500  0.788

=====

#iii
DFT (PBE) results for a relaxed structure of CuAsBr2.

Calculated values
DOS(E_F) in states/eV/atom: 0.535
Space group: P2/m, No. 10

Cell: 3.451 3.472 8.206 Å, 90.00 90.77 90.00°
Positions (direct):
Cu  0.000  0.000  0.000
As  0.000  0.000  0.500
Br  0.008  0.500  0.786
Br  0.992  0.500  0.214

=====

Which one is most stable, and which one is least stable? #i is the most stable of them, while #ii is the least stable.

=====

#i
DFT (PBE) results for a relaxed structure of CuAs3Br.

Calculated values
DOS(E_F) in states/eV/atom: 1.328
Space group: Pm-3m, No. 221

Cell: 4.796 4.796 4.796 Å, 90.00 90.00 90.00°
Positions (direct):
Cu  0.000  0.000  0.000
As  0.000  0.000  0.500
As  0.000  0.500  0.000
As  0.500  0.000  0.000
Br  0.500  0.500  0.500

=====

#ii
DFT (PBE) results for a relaxed structure of CuAs3Br.

Calculated values
DOS(E_F) in states/eV/atom: 1.034
Space group: Pm-3m, No. 221

Cell: 5.066 5.066 5.066 Å, 90.00 90.00 90.00°
Positions (direct):
Cu  0.000  0.000  0.000
As  0.000  0.500  0.500
As  0.500  0.000  0.500
As  0.500  0.500  0.000
Br  0.500  0.500  0.500

=====

Which one is most stable, and which one is least stable? #i is the most stable of them, while #ii is the least stable.

=====

#i
DFT (PBE) results for a relaxed structure of Cu2AsBr.

Calculated values
DOS(E_F) in states/eV/atom: 0.233
Space group: Pm, No. 6

Cell: 3.092 3.550 7.752 Å, 90.00 97.38 90.00°
Positions (direct):
Cu  0.000  0.000  0.000
Cu  0.435  0.500  0.819
As  0.548  0.500  0.129
Br  0.333  0.000  0.598

=====

#ii
DFT (PBE) results for a relaxed structure of Cu2AsBr.

Calculated values
DOS(E_F) in states/eV/atom: 0.768
Space group: F-43m, No. 216

Cell: 4.655 4.655 4.655 Å, 60.00 60.00 60.00°
Positions (direct):
Cu  0.000  0.000  0.000
Cu  0.250  0.250  0.250
As  0.750  0.750  0.750
Br  0.500  0.500  0.500

=====

Which one is most stable, and which one is least stable? #i is the most stable of them, while #ii is the least stable.

=====

#i
DFT (PBE) results for a relaxed structure of Cu2AsBr.

Calculated values
DOS(E_F) in states/eV/atom: 0.374
Space group: P4/mmm, No. 123

Cell: 3.311 3.311 6.602 Å, 90.00 90.00 90.00°
Positions (direct):
Cu  0.000  0.000  0.193
Cu  0.000  0.000  0.807
As  0.500  0.500  0.000
Br  0.500  0.500  0.500

=====

#ii
DFT (PBE) results for a relaxed structure of Cu2AsBr.

Calculated values
DOS(E_F) in states/eV/atom: 0.580
Space group: I4/mmm, No. 139

Cell: 4.834 4.834 4.834 Å, 127.07 127.07 78.14°
Positions (direct):
Cu  0.250  0.750  0.500
Cu  0.750  0.250  0.500
As  0.000  0.000  0.000
Br  0.500  0.500  0.000

=====

Which one is most stable, and which one is least stable? #i is the most stable of them, while #ii is the least stable.